Entry 1:
A relaxed structure of Ta2AlPb. Source: the Alexandria database, functional GGA-PBE. Values from VASP.

Calculated volume = 19.40 Å³/atom
Formation energy = 327 meV/atom
Final energy = -7.46 eV/atom
M_tot = 0.000 μB/cell

```
&SYSTEM
  ibrav = 0, nat = 4, ntyp = 3
/
ATOMIC_SPECIES
Pb 207.20 Pb.upf
Al 26.98 Al.upf
Ta 180.95 Ta.upf
ATOMIC_POSITIONS crystal
Pb 0.2502 0.2502 0.2431
Al 0.4942 0.4942 0.5212
Ta 0.0011 0.0011 0.9964
Ta 0.7545 0.7545 0.7394
CELL_PARAMETERS angstrom
5.3024 -0.0047 0.0220
4.4662 2.8581 0.0220
0.5879 0.1717 5.1147
```

=====

Entry 2:
A relaxed structure of Co4SiAg. Source: the Alexandria database, functional GGA-PBE. Values from VASP.

Calculated volume = 12.57 Å³/atom
Formation energy without anion corrections = 28.8 kJ per mole of atoms
Final energy = -5.82 eV/atom
M_tot = 5.563 μB/cell

```
&SYSTEM
  ibrav = 0, nat = 6, ntyp = 3
/
ATOMIC_SPECIES
Co 58.93 Co.upf
Si 28.09 Si.upf
Ag 107.87 Ag.upf
ATOMIC_POSITIONS crystal
Co 0.8734 0.3755 0.3755
Co 0.3755 0.3755 0.8734
Co 0.3755 0.8734 0.3755
Co 0.3755 0.3755 0.3755
Si 0.7500 0.7500 0.7500
Ag 0.0000 0.0000 0.0000
CELL_PARAMETERS angstrom
0.0000 3.3536 3.3536
3.3536 0.0000 3.3536
3.3536 3.3536 0.0000
```

=====

Entry 3:
A relaxed structure of ErH4Pd2Pt. Source: the Alexandria database, functional GGA-PBE. Values from VASP.

Calculated volume = 10.34 Å³/atom
Final energy = -4.76 eV/atom
M_tot = 0.000 μB/cell

```
&SYSTEM
  ibrav = 0, nat = 8, ntyp = 4
/
ATOMIC_SPECIES
Er 167.26 Er.upf
H 1.01 H.upf
Pd 106.42 Pd.upf
Pt 195.08 Pt.upf
ATOMIC_POSITIONS crystal
Er 0.9843 0.4841 0.9686
H 0.4944 0.5924 0.5734
H 0.8827 0.4031 0.3779
H 0.4942 0.9745 0.3764
H 0.0793 0.9815 0.5736
Pd 0.4852 0.9850 0.9702
Pd 0.2339 0.2336 0.4677
Pt 0.7330 0.7330 0.4663
CELL_PARAMETERS angstrom
-1.0159 -1.8156 4.7021
-2.8328 -3.6834 -2.1927
4.4519 0.9064 -1.4222
```

=====

Which formula does entry 3 have?
ErH4Pd2Pt